Computed, not measured: CoRh2Br after structural relaxation at the PBE level of DFT.

Its density of states at the Fermi level is 6.81 states/eV/cell. For the volume, the calculation gives 62.8 Å³/cell. For the formation energy without anion corrections, the calculation gives 1.82 eV/f.u. As for the magnetization: 1.04 μB/atom. The excess energy over the best structure of this formula in the dataset comes out at 0.025 eV/atom.

The space group is P4/mmm (No. 123) and the conventional cell measures 3.029, 3.029 and 6.844 Å, with angles of 90.00, 90.00 and 90.00 degrees. Symmetry generates all atoms from Co at (0.000, 0.000, 0.000), Rh at (0.500, 0.500, 0.208) and Br at (0.000, 0.000, 0.500).